DFT (PBE) results for a relaxed structure of Sm9Al2In.

Cell: 4.878 4.878 14.629 Å, 90.00 90.00 90.00°
Element x y z (fractional)
1 Sm 0.500 0.500 0.000
2 Sm 0.500 0.500 0.336
3 Sm 0.500 0.500 0.664
4 Sm 0.500 0.000 0.172
5 Sm 0.500 0.000 0.500
6 Sm 0.500 0.000 0.828
7 Sm 0.000 0.500 0.172
8 Sm 0.000 0.500 0.500
9 Sm 0.000 0.500 0.828
10 Al 0.000 0.000 0.334
11 Al 0.000 0.000 0.666
12 In 0.000 0.000 0.000

**Formation energy from the elements**: -0.20 eV per atom
**D(E_F)**: 1.80 states/eV/atom
**Symmetry**: No. 123

DFT (PBE) results for a relaxed structure of LiZrHRu2.

Cell: 4.080 4.080 3.752 Å, 90.00 90.00 90.00°
Element x y z (fractional)
1 Ru 0.000 0.500 0.000
2 Ru 0.500 0.000 0.000
3 H 0.000 0.000 0.000
4 Zr 0.500 0.500 0.500
5 Li 0.000 0.000 0.500

**D(E_F)**: 0.89 states/eV/atom
**Symmetry**: No. 123
**DFT total energy**: -6.648 eV/atom

DFT (PBE) results for a relaxed structure of Ag6Pd2Pt.

Cell: 4.097 4.977 8.662 Å, 73.22 90.00 114.30°
Element x y z (fractional)
1 Ag 0.997 0.993 0.836
2 Ag 0.668 0.337 0.275
3 Ag 0.332 0.663 0.725
4 Ag 0.666 0.332 0.611
5 Ag 0.334 0.668 0.389
6 Ag 0.003 0.007 0.164
7 Pd 0.666 0.331 0.945
8 Pd 0.334 0.669 0.055
9 Pt 0.000 0.000 0.500

**Formation energy from the elements**: -0.01 eV per atom
**D(E_F)**: 0.32 states/eV/atom
**Symmetry**: No. 12
**Energy above the most stable polymorph in this dataset**: 0 meV/atom

DFT (PBE) results for a relaxed structure of ScCrMo2.

Cell: 5.331 5.331 5.331 Å, 139.08 139.08 59.25°
Element x y z (fractional)
1 Cr 0.750 0.250 0.500
2 Mo 0.000 0.000 0.000
3 Mo 0.500 0.500 0.000
4 Sc 0.250 0.750 0.500

**Formation energy from the elements**: 0.36 eV per atom
**D(E_F)**: 1.07 states/eV/atom
**Symmetry**: No. 139
**Energy above the most stable polymorph in this dataset**: 236 meV/atom